DFT (GGA+U) results for an optimized crystal structure of MnAlNF2.

The structure in POSCAR format:
```
MnAlNF2
1.0
3.6710 0.0000 0.0000
0.0000 3.6710 0.0000
0.0000 0.0000 3.9778
Mn F N Al
1 2 1 1
Direct
0.5000 0.5000 0.5000 Mn
0.0000 0.5000 0.0000 F
0.5000 0.0000 0.0000 F
0.0000 0.0000 0.5000 N
0.0000 0.0000 0.0000 Al
```


DFT (GGA+U) results for an optimized crystal structure of Na2MnAlF6.

The structure in POSCAR format:
```
Na2MnAlF6
1.0
-4.0847 3.4875 -2.3202
-5.4098 -2.0306 -0.9058
-4.3861 1.8573 3.1315
F Na Al Mn
6 2 1 1
Direct
0.1282 0.4170 0.8158 F
0.6390 0.1277 0.8160 F
0.9933 0.5048 0.2868 F
0.4174 0.6390 0.8154 F
0.2148 0.9933 0.2876 F
0.5044 0.2151 0.2871 F
0.0860 0.0860 0.7419 Na
0.5462 0.5462 0.3616 Na
0.3162 0.3162 0.0515 Al
0.8162 0.8163 0.5514 Mn
```


DFT (GGA+U) results for an optimized crystal structure of MnAlNiF2.

The structure in POSCAR format:
```
MnAlNiF2
1.0
-3.2130 2.1842 0.6052
-1.1790 -0.3107 -5.1383
-2.0896 -3.2613 0.6767
F Ni Al Mn
2 1 1 1
Direct
0.0000 0.0000 0.5000 F
0.5000 0.0000 0.0000 F
0.0000 0.0000 0.0000 Ni
0.0000 0.5000 0.0000 Al
0.5000 0.5000 0.5000 Mn
```


Calculated raw total energy in order - -6.29 -5.24 -4.19 eV/atom